4
Lattice="-1.284 -4.508 -1.472 2.248 -4.361 0.274 -3.275 -2.893 6.867" Properties=species:S:1:pos:R:3 comment="Sr2CdSi PBE optimized geometry" space_group=C2/m raw_formation_energy_mev_per_atom=-115 n_ef_per_ev_cell=1.84 pbc="T T T"
Cd -1.734 -8.822 4.251
Si -0.578 -2.941 1.417
Sr 0.824 -8.860 -0.917
Sr -1.017 -5.890 2.553

4
Lattice="2.833 0.012 0.000 -1.229 2.553 0.000 0.000 0.000 8.799" Properties=species:S:1:pos:R:3 comment="TlCr2Os PBE optimized geometry" space_group=Cmm2 de_polymorph_mev_per_atom=254.7 formation_energy_ev_per_atom=0.74 n_ef_per_ev_cell=2.90 pbc="T T T"
Cr 0.000 0.000 0.360
Cr 0.802 1.282 2.095
Os 0.000 0.000 4.092
Tl 0.802 1.282 6.651

28
Lattice="7.562 0.013 0.000 -3.759 6.562 0.000 0.000 0.000 9.542" Properties=species:S:1:pos:R:3 comment="Tb2Ga9Rh3 PBE optimized geometry" space_group=Cmcm formation_energy_ev_per_atom=-0.72 n_ef_per_ev_cell=9.50 pbc="T T T"
Tb 5.030 4.407 2.385
Tb -1.226 2.168 7.156
Tb 1.313 6.558 2.385
Tb 2.490 0.017 7.156
Ga 0.482 0.833 2.385
Ga 3.322 5.742 7.156
Ga -1.250 2.198 0.760
Ga 5.054 4.377 8.782
Ga 5.054 4.377 5.531
Ga 2.528 0.012 4.011
Ga -1.250 2.198 4.011
Ga 1.275 6.563 5.531
Ga 1.275 6.563 8.782
Ga 2.528 0.012 0.760
Ga 1.268 2.191 5.385
Ga 2.536 4.384 4.156
Ga 2.536 4.384 0.615
Ga 1.268 2.191 8.927
Ga 0.502 3.598 2.385
Ga 3.301 2.977 7.156
Ga 2.869 2.229 2.385
Ga 0.935 4.346 7.156
Rh 3.844 2.164 0.000
Rh -0.040 4.411 0.000
Rh -0.040 4.411 4.771
Rh 3.844 2.164 4.771
Rh 0.000 0.000 0.000
Rh 0.000 0.000 4.771